The following is a DFT calculation (GGA-PBE) of YInTc after structural relaxation.

Cell and atoms, written as CIF:
```
data_YInTc
_cell_length_a 6.793
_cell_length_b 6.793
_cell_length_c 6.793
_cell_angle_alpha 90.00
_cell_angle_beta 90.00
_cell_angle_gamma 90.00
_symmetry_space_group_name_H-M 'F -4 3 m'
_symmetry_Int_Tables_number 216
_symmetry_space_group_name_Hall 'F -4 2 3'
loop_
_atom_site_label
_atom_site_type_symbol
_atom_site_fract_x
_atom_site_fract_y
_atom_site_fract_z
_atom_site_occupancy
Y1 Y 0.000 0.000 0.000 1
In1 In 0.250 0.250 0.750 1
Tc1 Tc 0.250 0.250 0.250 1
```

Calculated values
Energy above the most stable polymorph in this dataset (eV per atom): 0.6613

The following is a DFT calculation (GGA-PBE) of Y2InTc after structural relaxation.

Cell and atoms, written as CIF:
```
data_Y2InTc
_cell_length_a 7.070
_cell_length_b 7.070
_cell_length_c 7.070
_cell_angle_alpha 90.00
_cell_angle_beta 90.00
_cell_angle_gamma 90.00
_symmetry_space_group_name_H-M 'F -4 3 m'
_symmetry_Int_Tables_number 216
_symmetry_space_group_name_Hall 'F -4 2 3'
loop_
_atom_site_label
_atom_site_type_symbol
_atom_site_fract_x
_atom_site_fract_y
_atom_site_fract_z
_atom_site_occupancy
Y1 Y 0.000 0.000 0.000 1
Y2 Y 0.250 0.250 0.250 1
In1 In 0.000 0.000 0.500 1
Tc1 Tc 0.250 0.250 0.750 1
```

Calculated values
E (eV per cell): -103.34

The following is a DFT calculation (GGA-PBE) of ZnIn2Tc after structural relaxation.

Cell and atoms, written as CIF:
```
data_ZnIn2Tc
_cell_length_a 6.654
_cell_length_b 6.654
_cell_length_c 6.654
_cell_angle_alpha 90.00
_cell_angle_beta 90.00
_cell_angle_gamma 90.00
_symmetry_space_group_name_H-M 'F -4 3 m'
_symmetry_Int_Tables_number 216
_symmetry_space_group_name_Hall 'F -4 2 3'
loop_
_atom_site_label
_atom_site_type_symbol
_atom_site_fract_x
_atom_site_fract_y
_atom_site_fract_z
_atom_site_occupancy
Zn1 Zn 0.000 0.000 0.000 1
In1 In 0.000 0.000 0.500 1
In2 In 0.250 0.250 0.250 1
Tc1 Tc 0.250 0.250 0.750 1
```

Calculated values
E (eV per cell): -60.19

The following is a DFT calculation (GGA-PBE) of ZrInTc after structural relaxation.

Cell and atoms, written as CIF:
```
data_ZrInTc
_cell_length_a 6.527
_cell_length_b 6.527
_cell_length_c 6.527
_cell_angle_alpha 90.00
_cell_angle_beta 90.00
_cell_angle_gamma 90.00
_symmetry_space_group_name_H-M 'F -4 3 m'
_symmetry_Int_Tables_number 216
_symmetry_space_group_name_Hall 'F -4 2 3'
loop_
_atom_site_label
_atom_site_type_symbol
_atom_site_fract_x
_atom_site_fract_y
_atom_site_fract_z
_atom_site_occupancy
Zr1 Zr 0.000 0.000 0.000 1
In1 In 0.250 0.250 0.750 1
Tc1 Tc 0.250 0.250 0.250 1
```

Calculated values
Energy above the most stable polymorph in this dataset (eV per atom): 0.4814

The following is a DFT calculation (GGA-PBE) of TmIn4Te2 after structural relaxation.

Cell and atoms, written as CIF:
```
data_TmIn4Te2
_cell_length_a 8.220
_cell_length_b 8.220
_cell_length_c 7.919
_cell_angle_alpha 90.00
_cell_angle_beta 90.00
_cell_angle_gamma 90.00
_symmetry_space_group_name_H-M 'I 4/m m m'
_symmetry_Int_Tables_number 139
_symmetry_space_group_name_Hall '-I 4 2'
loop_
_atom_site_label
_atom_site_type_symbol
_atom_site_fract_x
_atom_site_fract_y
_atom_site_fract_z
_atom_site_occupancy
Tm1 Tm 0.000 0.000 0.000 1
In1 In 0.000 0.243 0.500 1
Te1 Te 0.000 0.500 0.250 1
```

Calculated values
E (eV per cell): -39.36

The following is a DFT calculation (GGA-PBE) of YTmInTe3 after structural relaxation.

Cell and atoms, written as CIF:
```
data_YTmInTe3
_cell_length_a 4.356
_cell_length_b 15.047
_cell_length_c 11.974
_cell_angle_alpha 90.00
_cell_angle_beta 90.00
_cell_angle_gamma 90.00
_symmetry_space_group_name_H-M 'C m c m'
_symmetry_Int_Tables_number 63
_symmetry_space_group_name_Hall '-C 2c 2'
loop_
_atom_site_label
_atom_site_type_symbol
_atom_site_fract_x
_atom_site_fract_y
_atom_site_fract_z
_atom_site_occupancy
Y1 Y 0.000 0.000 0.000 1
Tm1 Tm 0.000 0.430 0.250 1
In1 In 0.000 0.246 0.750 1
Te1 Te 0.000 0.067 0.250 1
Te2 Te 0.000 0.354 0.027 1
```

Calculated values
Energy above the most stable polymorph in this dataset (eV per atom): 0.0539

The following is a DFT calculation (GGA-PBE) of YTmInTe3 after structural relaxation.

Cell and atoms, written as CIF:
```
data_YTmInTe3
_cell_length_a 18.854
_cell_length_b 4.321
_cell_length_c 10.040
_cell_angle_alpha 90.00
_cell_angle_beta 103.52
_cell_angle_gamma 90.00
_symmetry_space_group_name_H-M 'C 1 2/m 1'
_symmetry_Int_Tables_number 12
_symmetry_space_group_name_Hall '-C 2y'
loop_
_atom_site_label
_atom_site_type_symbol
_atom_site_fract_x
_atom_site_fract_y
_atom_site_fract_z
_atom_site_occupancy
Y1 Y 0.171 0.000 0.073 1
Tm1 Tm 0.003 0.500 0.210 1
In1 In 0.142 0.000 0.550 1
Te1 Te 0.000 0.000 0.000 1
Te2 Te 0.000 0.500 0.500 1
Te3 Te 0.163 0.500 0.846 1
Te4 Te 0.168 0.500 0.292 1
```

Calculated values
Energy above the most stable polymorph in this dataset (eV per atom): 0.0000

The following is a DFT calculation (GGA-PBE) of YTmInTe3 after structural relaxation.

Cell and atoms, written as CIF:
```
data_YTmInTe3
_cell_length_a 4.293
_cell_length_b 15.178
_cell_length_c 11.976
_cell_angle_alpha 90.00
_cell_angle_beta 90.00
_cell_angle_gamma 90.00
_symmetry_space_group_name_H-M 'C m c m'
_symmetry_Int_Tables_number 63
_symmetry_space_group_name_Hall '-C 2c 2'
loop_
_atom_site_label
_atom_site_type_symbol
_atom_site_fract_x
_atom_site_fract_y
_atom_site_fract_z
_atom_site_occupancy
Y1 Y 0.000 0.082 0.250 1
Tm1 Tm 0.000 0.500 0.000 1
In1 In 0.000 0.241 0.750 1
Te1 Te 0.000 0.144 0.017 1
Te2 Te 0.000 0.442 0.250 1
```

Calculated values
Energy above the most stable polymorph in this dataset (eV per atom): 0.0586

The following is a DFT calculation (GGA-PBE) of TmZnInTe3 after structural relaxation.

Cell and atoms, written as CIF:
```
data_TmZnInTe3
_cell_length_a 15.504
_cell_length_b 4.326
_cell_length_c 11.613
_cell_angle_alpha 90.00
_cell_angle_beta 90.00
_cell_angle_gamma 90.00
_symmetry_space_group_name_H-M 'P n m a'
_symmetry_Int_Tables_number 62
_symmetry_space_group_name_Hall '-P 2ac 2n'
loop_
_atom_site_label
_atom_site_type_symbol
_atom_site_fract_x
_atom_site_fract_y
_atom_site_fract_z
_atom_site_occupancy
Tm1 Tm 0.024 0.250 0.158 1
Zn1 Zn 0.017 0.750 0.399 1
In1 In 0.239 0.250 0.460 1
Te1 Te 0.089 0.750 0.616 1
Te2 Te 0.103 0.250 0.921 1
Te3 Te 0.147 0.750 0.247 1
```

Calculated values
Energy above the most stable polymorph in this dataset (eV per atom): 0.0150

The following is a DFT calculation (GGA-PBE) of TmZnInTe3 after structural relaxation.

Cell and atoms, written as CIF:
```
data_TmZnInTe3
_cell_length_a 12.416
_cell_length_b 4.455
_cell_length_c 13.182
_cell_angle_alpha 90.00
_cell_angle_beta 90.00
_cell_angle_gamma 90.00
_symmetry_space_group_name_H-M 'P n m a'
_symmetry_Int_Tables_number 62
_symmetry_space_group_name_Hall '-P 2ac 2n'
loop_
_atom_site_label
_atom_site_type_symbol
_atom_site_fract_x
_atom_site_fract_y
_atom_site_fract_z
_atom_site_occupancy
Tm1 Tm 0.023 0.250 0.187 1
Zn1 Zn 0.243 0.750 0.300 1
In1 In 0.184 0.250 0.492 1
Te1 Te 0.035 0.750 0.351 1
Te2 Te 0.095 0.250 0.933 1
Te3 Te 0.229 0.750 0.685 1
```

Calculated values
Energy above the most stable polymorph in this dataset (eV per atom): 0.0718

The following is a DFT calculation (GGA-PBE) of TmZnInTe3 after structural relaxation.

Cell and atoms, written as CIF:
```
data_TmZnInTe3
_cell_length_a 4.300
_cell_length_b 15.413
_cell_length_c 11.424
_cell_angle_alpha 90.00
_cell_angle_beta 90.00
_cell_angle_gamma 90.00
_symmetry_space_group_name_H-M 'C m c m'
_symmetry_Int_Tables_number 63
_symmetry_space_group_name_Hall '-C 2c 2'
loop_
_atom_site_label
_atom_site_type_symbol
_atom_site_fract_x
_atom_site_fract_y
_atom_site_fract_z
_atom_site_occupancy
Tm1 Tm 0.000 0.000 0.000 1
Zn1 Zn 0.000 0.465 0.250 1
In1 In 0.000 0.243 0.750 1
Te1 Te 0.000 0.074 0.250 1
Te2 Te 0.000 0.365 0.059 1
```

Calculated values
Energy above the most stable polymorph in this dataset (eV per atom): 0.0005

The following is a DFT calculation (GGA-PBE) of TmZnInTe3 after structural relaxation.

Cell and atoms, written as CIF:
```
data_TmZnInTe3
_cell_length_a 8.718
_cell_length_b 4.311
_cell_length_c 11.178
_cell_angle_alpha 90.00
_cell_angle_beta 109.30
_cell_angle_gamma 90.00
_symmetry_space_group_name_H-M 'P 1 21/m 1'
_symmetry_Int_Tables_number 11
_symmetry_space_group_name_Hall '-P 2yb'
loop_
_atom_site_label
_atom_site_type_symbol
_atom_site_fract_x
_atom_site_fract_y
_atom_site_fract_z
_atom_site_occupancy
Tm1 Tm 0.191 0.250 0.145 1
Zn1 Zn 0.421 0.750 0.390 1
In1 In 0.230 0.750 0.711 1
Te1 Te 0.061 0.250 0.859 1
Te2 Te 0.263 0.250 0.442 1
Te3 Te 0.443 0.750 0.158 1
```

Calculated values
Energy above the most stable polymorph in this dataset (eV per atom): 0.0217

The following is a DFT calculation (GGA-PBE) of TmZnInTe3 after structural relaxation.

Cell and atoms, written as CIF:
```
data_TmZnInTe3
_cell_length_a 19.225
_cell_length_b 4.301
_cell_length_c 9.245
_cell_angle_alpha 90.00
_cell_angle_beta 102.61
_cell_angle_gamma 90.00
_symmetry_space_group_name_H-M 'C 1 2/m 1'
_symmetry_Int_Tables_number 12
_symmetry_space_group_name_Hall '-C 2y'
loop_
_atom_site_label
_atom_site_type_symbol
_atom_site_fract_x
_atom_site_fract_y
_atom_site_fract_z
_atom_site_occupancy
Tm1 Tm 0.172 0.000 0.080 1
Zn1 Zn 0.034 0.500 0.220 1
In1 In 0.133 0.000 0.570 1
Te1 Te 0.000 0.000 0.000 1
Te2 Te 0.000 0.500 0.500 1
Te3 Te 0.168 0.500 0.851 1
Te4 Te 0.177 0.500 0.315 1
```

Calculated values
Energy above the most stable polymorph in this dataset (eV per atom): 0.1181

The following is a DFT calculation (GGA-PBE) of TmZnInTe3 after structural relaxation.

Cell and atoms, written as CIF:
```
data_TmZnInTe3
_cell_length_a 9.048
_cell_length_b 4.586
_cell_length_c 17.421
_cell_angle_alpha 90.00
_cell_angle_beta 90.00
_cell_angle_gamma 90.00
_symmetry_space_group_name_H-M 'P n m a'
_symmetry_Int_Tables_number 62
_symmetry_space_group_name_Hall '-P 2ac 2n'
loop_
_atom_site_label
_atom_site_type_symbol
_atom_site_fract_x
_atom_site_fract_y
_atom_site_fract_z
_atom_site_occupancy
Tm1 Tm 0.249 0.250 0.043 1
Zn1 Zn 0.135 0.750 0.858 1
In1 In 0.072 0.750 0.284 1
Te1 Te 0.002 0.750 0.089 1
Te2 Te 0.125 0.250 0.448 1
Te3 Te 0.195 0.750 0.710 1
```

Calculated values
Energy above the most stable polymorph in this dataset (eV per atom): 0.1225

The following is a DFT calculation (GGA-PBE) of TmZnInTe3 after structural relaxation.

Cell and atoms, written as CIF:
```
data_TmZnInTe3
_cell_length_a 11.446
_cell_length_b 4.314
_cell_length_c 15.298
_cell_angle_alpha 90.00
_cell_angle_beta 90.00
_cell_angle_gamma 90.00
_symmetry_space_group_name_H-M 'P n m a'
_symmetry_Int_Tables_number 62
_symmetry_space_group_name_Hall '-P 2ac 2n'
loop_
_atom_site_label
_atom_site_type_symbol
_atom_site_fract_x
_atom_site_fract_y
_atom_site_fract_z
_atom_site_occupancy
Tm1 Tm 0.013 0.250 0.247 1
Zn1 Zn 0.241 0.250 0.715 1
In1 In 0.230 0.750 0.507 1
Te1 Te 0.046 0.250 0.618 1
Te2 Te 0.073 0.750 0.112 1
Te3 Te 0.239 0.750 0.826 1
```

Calculated values
Energy above the most stable polymorph in this dataset (eV per atom): 0.0000

The following is a DFT calculation (GGA-PBE) of UInTe after structural relaxation.

Cell and atoms, written as CIF:
```
data_UInTe
_cell_length_a 7.223
_cell_length_b 7.223
_cell_length_c 7.223
_cell_angle_alpha 90.00
_cell_angle_beta 90.00
_cell_angle_gamma 90.00
_symmetry_space_group_name_H-M 'F -4 3 m'
_symmetry_Int_Tables_number 216
_symmetry_space_group_name_Hall 'F -4 2 3'
loop_
_atom_site_label
_atom_site_type_symbol
_atom_site_fract_x
_atom_site_fract_y
_atom_site_fract_z
_atom_site_occupancy
U1 U 0.000 0.000 0.000 1
In1 In 0.000 0.000 0.500 1
Te1 Te 0.250 0.250 0.750 1
```

Calculated values
Energy above the most stable polymorph in this dataset (eV per atom): 0.0718

The following is a DFT calculation (GGA-PBE) of UInTe after structural relaxation.

Cell and atoms, written as CIF:
```
data_UInTe
_cell_length_a 7.272
_cell_length_b 7.272
_cell_length_c 7.272
_cell_angle_alpha 90.00
_cell_angle_beta 90.00
_cell_angle_gamma 90.00
_symmetry_space_group_name_H-M 'F -4 3 m'
_symmetry_Int_Tables_number 216
_symmetry_space_group_name_Hall 'F -4 2 3'
loop_
_atom_site_label
_atom_site_type_symbol
_atom_site_fract_x
_atom_site_fract_y
_atom_site_fract_z
_atom_site_occupancy
U1 U 0.000 0.000 0.000 1
In1 In 0.250 0.250 0.250 1
Te1 Te 0.250 0.250 0.750 1
```

Calculated values
Energy above the most stable polymorph in this dataset (eV per atom): 0.0000

The following is a DFT calculation (GGA-PBE) of InTeW after structural relaxation.

Cell and atoms, written as CIF:
```
data_InTeW
_cell_length_a 6.612
_cell_length_b 6.612
_cell_length_c 6.612
_cell_angle_alpha 90.00
_cell_angle_beta 90.00
_cell_angle_gamma 90.00
_symmetry_space_group_name_H-M 'F -4 3 m'
_symmetry_Int_Tables_number 216
_symmetry_space_group_name_Hall 'F -4 2 3'
loop_
_atom_site_label
_atom_site_type_symbol
_atom_site_fract_x
_atom_site_fract_y
_atom_site_fract_z
_atom_site_occupancy
In1 In 0.000 0.000 0.000 1
Te1 Te 0.000 0.000 0.500 1
W1 W 0.250 0.250 0.250 1
```

Calculated values
Energy above the most stable polymorph in this dataset (eV per atom): 0.0000

The following is a DFT calculation (GGA-PBE) of InTeW after structural relaxation.

Cell and atoms, written as CIF:
```
data_InTeW
_cell_length_a 6.675
_cell_length_b 6.675
_cell_length_c 6.675
_cell_angle_alpha 90.00
_cell_angle_beta 90.00
_cell_angle_gamma 90.00
_symmetry_space_group_name_H-M 'F -4 3 m'
_symmetry_Int_Tables_number 216
_symmetry_space_group_name_Hall 'F -4 2 3'
loop_
_atom_site_label
_atom_site_type_symbol
_atom_site_fract_x
_atom_site_fract_y
_atom_site_fract_z
_atom_site_occupancy
In1 In 0.000 0.000 0.000 1
Te1 Te 0.250 0.250 0.250 1
W1 W 0.000 0.000 0.500 1
```

Calculated values
Energy above the most stable polymorph in this dataset (eV per atom): 0.4426

The following is a DFT calculation (GGA-PBE) of YZnInTe3 after structural relaxation.

Cell and atoms, written as CIF:
```
data_YZnInTe3
_cell_length_a 11.567
_cell_length_b 4.343
_cell_length_c 15.289
_cell_angle_alpha 90.00
_cell_angle_beta 90.00
_cell_angle_gamma 90.00
_symmetry_space_group_name_H-M 'P n m a'
_symmetry_Int_Tables_number 62
_symmetry_space_group_name_Hall '-P 2ac 2n'
loop_
_atom_site_label
_atom_site_type_symbol
_atom_site_fract_x
_atom_site_fract_y
_atom_site_fract_z
_atom_site_occupancy
Y1 Y 0.015 0.250 0.246 1
Zn1 Zn 0.239 0.250 0.716 1
In1 In 0.226 0.750 0.507 1
Te1 Te 0.048 0.250 0.617 1
Te2 Te 0.078 0.750 0.110 1
Te3 Te 0.238 0.750 0.826 1
```

Calculated values
Energy above the most stable polymorph in this dataset (eV per atom): 0.0000

In g cm⁻³, the ρ values for the records above are, in order, 6.39 7.34 8.86 7.26 5.48 6.39 6.31 6.43 6.24 6.67 6.42 6.13 6.52 6.73 6.44 8.47 8.30 9.80 9.52 5.64.